CuICl2: optimized geometry, PBE.

- VASP energy: -21.00 eV/cell
- Distance to the lowest polymorph of the same formula: 59 meV per atom
- Formation energy without anion corrections: -0.29 eV per atom
- SG: P1

Cell lengths 5.9957, 6.7838, 6.8420 Å; angles 108.43, 104.22, 99.91 degrees
Last column: nearest neighbours and their distance in Å.
Atoms (fractional coordinates):
I1 0.9544 0.4069 0.0416  2 Cu 2.54-2.62
I2 0.0056 0.0328 0.3730  2 Cl 2.48-2.68, 1 Cu 2.66
Cl1 0.4467 0.5852 0.4785  2 Cu 2.27-2.29
Cl2 0.6177 0.8387 0.0788  1 I 2.48, 1 Cu 2.69
Cl3 0.0132 0.7212 0.7410  2 Cu 2.26
Cl4 0.4085 0.2177 0.7129  1 Cu 2.28
Cu1 0.0985 0.6811 0.4290  2 Cl 2.26-2.27
Cu2 0.6806 0.5216 0.7592  3 Cl 2.26-2.29



CsTlOs2: optimized geometry, PBE.

- Energy relative to the elements: 44.6 kcal/mol of atoms
- VASP energy: -35.89 eV/cell
- Distance to the lowest polymorph of the same formula: 0 meV per atom
- SG: I-42d

Cell lengths 4.3554, 4.3554, 12.2986 Å; angles 79.80, 79.80, 90.00 degrees
Last column: nearest neighbours and their distance in Å.
Atoms (fractional coordinates):
Cs1 0.5000 0.5000 0.0000  4 Tl 3.08, 4 Os 3.22
Cs2 0.2500 0.7500 0.5000  4 Tl 3.08, 4 Os 3.22
Tl1 0.7500 0.2500 0.5000  4 Cs 3.08
Tl2 0.0000 0.0000 0.0000  4 Cs 3.08
Os1 0.2429 0.6250 0.2500  2 Os 2.46
Os2 0.3750 0.4929 0.7500  2 Os 2.46
Os3 0.8750 0.7571 0.7500  2 Os 2.46
Os4 0.5071 0.1250 0.2500  2 Os 2.46



CaAg12Au6: optimized geometry, PBE.

- Energy relative to the elements: 0.9 kcal/mol of atoms
- VASP energy: -55.13 eV/cell
- SG: R-3m

Cell lengths 7.6643, 7.6643, 7.6643 Å; angles 105.05, 105.05, 105.05 degrees
Last column: nearest neighbours and their distance in Å.
Atoms (fractional coordinates):
Ag1 0.1140 0.3610 0.3610  4 Au 2.81-3.00, 4 Ag 2.84-3.01, 1 Ca 3.10
Ag2 0.3610 0.1140 0.3610  4 Au 2.81-3.00, 4 Ag 2.84-3.01, 1 Ca 3.10
Ag3 0.5000 0.8888 0.1112  3 Ag 2.71-2.84, 4 Au 2.78-2.89
Ag4 0.8888 0.1112 0.5000  3 Ag 2.71-2.84, 4 Au 2.78-2.89
Ag5 0.1112 0.8888 0.5000  3 Ag 2.71-2.84, 4 Au 2.78-2.89
Ag6 0.8888 0.5000 0.1112  3 Ag 2.71-2.84, 4 Au 2.78-2.89
Ag7 0.3610 0.3610 0.1140  4 Au 2.81-3.00, 4 Ag 2.84-3.01, 1 Ca 3.10
Ag8 0.8860 0.6390 0.6390  4 Au 2.81-3.00, 4 Ag 2.84-3.01, 1 Ca 3.10
Ag9 0.6390 0.8860 0.6390  4 Au 2.81-3.00, 4 Ag 2.84-3.01, 1 Ca 3.10
Ag10 0.1112 0.5000 0.8888  3 Ag 2.71-2.84, 4 Au 2.78-2.89
Ag11 0.6390 0.6390 0.8860  4 Au 2.81-3.00, 4 Ag 2.84-3.01, 1 Ca 3.10
Ag12 0.5000 0.1112 0.8888  3 Ag 2.71-2.84, 4 Au 2.78-2.89
Au1 0.3038 0.6998 0.6998  8 Ag 2.78-3.00, 2 Au 3.05
Au2 0.6998 0.3038 0.6998  8 Ag 2.78-3.00, 2 Au 3.05
Au3 0.6998 0.6998 0.3038  8 Ag 2.78-3.00, 2 Au 3.05
Au4 0.3002 0.3002 0.6962  8 Ag 2.78-3.00, 2 Au 3.05
Au5 0.6962 0.3002 0.3002  8 Ag 2.78-3.00, 2 Au 3.05
Au6 0.3002 0.6962 0.3002  8 Ag 2.78-3.00, 2 Au 3.05
Ca1 0.0000 0.0000 0.0000  6 Ag 3.10



BeIF3: optimized geometry, PBE.

- VASP energy: -11.68 eV/cell
- Distance to the lowest polymorph of the same formula: 1212 meV per atom
- Formation energy without anion corrections: -0.16 eV per atom
- SG: Pm-3m

Cell lengths 4.6965, 4.6965, 4.6965 Å; angles 90.00, 90.00, 90.00 degrees
Last column: nearest neighbours and their distance in Å.
Atoms (fractional coordinates):
F1 0.5000 0.0000 0.0000  2 I 2.35
F2 0.0000 0.5000 0.0000  2 I 2.35
F3 0.0000 0.0000 0.5000  2 I 2.35
Be1 0.5000 0.5000 0.5000  12 F 3.32
I1 0.0000 0.0000 0.0000  6 F 2.35



CuBMoC2: optimized geometry, PBE.

- Energy relative to the elements: 42.4 kcal/mol of atoms
- VASP energy: -30.85 eV/cell
- SG: P4/mmm

Cell lengths 3.5524, 3.7902, 3.5524 Å; angles 90.00, 90.00, 90.00 degrees
Last column: nearest neighbours and their distance in Å.
Atoms (fractional coordinates):
C1 0.0000 0.0000 0.5000  2 B 1.78
C2 0.5000 0.0000 0.0000  2 B 1.78
Mo1 0.5000 0.5000 0.5000  4 Cu 2.51, 8 C 2.60
Cu1 0.0000 0.5000 0.0000  2 B 1.90
B1 0.0000 0.0000 0.0000  4 C 1.78, 2 Cu 1.90



Y2ZnGe: optimized geometry, PBE.

- Energy relative to the elements: -12.8 kcal/mol of atoms
- VASP energy: -21.04 eV/cell
- SG: P4/mmm

Cell lengths 3.7151, 4.9314, 4.9314 Å; angles 90.00, 90.00, 90.00 degrees
Last column: nearest neighbours and their distance in Å.
Atoms (fractional coordinates):
Zn1 0.5000 0.5000 0.5000  8 Y 3.09
Ge1 0.5000 0.0000 0.0000  8 Y 3.09
Y1 0.0000 0.5000 0.0000  4 Zn 3.09, 4 Ge 3.09
Y2 0.0000 0.0000 0.5000  4 Zn 3.09, 4 Ge 3.09



NdTmSi2Ni2: optimized geometry, PBE.

- VASP energy: -36.15 eV/cell
- Formation energy without anion corrections: -0.75 eV per atom
- SG: P-3m1

Cell lengths 4.1554, 4.1554, 7.2954 Å; angles 90.00, 90.00, 120.00 degrees
Last column: nearest neighbours and their distance in Å.
Atoms (fractional coordinates):
Si1 0.6667 0.3333 0.7261  3 Ni 2.40
Si2 0.3333 0.6667 0.2739  3 Ni 2.40
Ni1 0.3333 0.6667 0.7098  3 Si 2.40
Ni2 0.6667 0.3333 0.2902  3 Si 2.40
Nd1 0.0000 0.0000 0.0000  6 Si 3.12, 6 Ni 3.20
Tm1 0.0000 0.0000 0.5000  6 Ni 2.85, 6 Si 2.91



As3C: optimized geometry, PBE.

- Energy relative to the elements: 20.0 kcal/mol of atoms
- VASP energy: -19.70 eV/cell
- Distance to the lowest polymorph of the same formula: 326 meV per atom
- SG: Pmm2

Cell lengths 4.7101, 3.1776, 4.8748 Å; angles 90.00, 90.00, 90.00 degrees
Last column: nearest neighbours and their distance in Å.
Atoms (fractional coordinates):
As1 0.0000 0.0000 0.3320  2 C 1.98
As2 0.5000 0.5000 0.6663  2 C 2.40, 2 As 2.62
As3 0.5000 0.0000 0.0948  4 As 2.62
C1 0.0000 0.5000 0.5736  2 As 1.98



LaDy5As6: optimized geometry, PBE.

- Energy relative to the elements: -35.3 kcal/mol of atoms
- VASP energy: -74.21 eV/cell
- SG: C2/m

Cell lengths 7.2127, 7.2127, 7.2125 Å; angles 99.60, 99.60, 119.99 degrees
Last column: nearest neighbours and their distance in Å.
Atoms (fractional coordinates):
Dy1 0.8349 0.1651 0.5000  6 As 2.90-2.95
Dy2 0.3328 0.6672 0.0000  6 As 2.94
Dy3 0.6672 0.3328 0.0000  6 As 2.94
Dy4 0.1651 0.8349 0.5000  6 As 2.90-2.95
Dy5 0.5000 0.5000 0.5000  6 As 2.89-2.95
As1 0.4256 0.0850 0.2548  5 Dy 2.90-2.95, 1 La 3.01
As2 0.7439 0.7439 0.2537  5 Dy 2.89-2.94, 1 La 3.00
As3 0.0850 0.4256 0.2548  5 Dy 2.90-2.95, 1 La 3.01
As4 0.5744 0.9150 0.7452  5 Dy 2.90-2.95, 1 La 3.01
As5 0.9150 0.5744 0.7452  5 Dy 2.90-2.95, 1 La 3.01
As6 0.2561 0.2561 0.7463  5 Dy 2.89-2.94, 1 La 3.00
La1 0.0000 0.0000 0.0000  6 As 3.00-3.01



AcGeBi2: optimized geometry, PBE.

- Energy relative to the elements: -5.8 kcal/mol of atoms
- VASP energy: -17.49 eV/cell
- Distance to the lowest polymorph of the same formula: 169 meV per atom
- SG: R-3m

Cell lengths 5.2568, 5.2568, 6.2101 Å; angles 64.96, 64.96, 60.00 degrees
Last column: nearest neighbours and their distance in Å.
Atoms (fractional coordinates):
Bi1 0.2217 0.2217 0.3350  3 Ge 3.16, 3 Bi 3.52, 3 Ac 3.54
Bi2 0.7783 0.7783 0.6650  3 Ge 3.16, 3 Bi 3.52, 3 Ac 3.54
Ge1 0.5000 0.5000 0.5000  6 Bi 3.16
Ac1 0.0000 0.0000 0.0000  8 Bi 3.54-3.60



NpZnRh3: optimized geometry, PBE.

- Energy relative to the elements: -6.4 kcal/mol of atoms
- VASP energy: -75.32 eV/cell
- SG: Pmmn

Cell lengths 4.3016, 5.6567, 6.9864 Å; angles 90.00, 90.00, 90.00 degrees
Last column: nearest neighbours and their distance in Å.
Atoms (fractional coordinates):
Rh1 0.0000 0.7392 0.2647  3 Zn 2.56-2.81, 2 Np 2.67, 2 Rh 2.71-2.79
Rh2 0.5000 0.7608 0.7353  3 Zn 2.56-2.81, 2 Np 2.67, 2 Rh 2.71-2.79
Rh3 0.0000 0.0000 0.9258  1 Zn 2.53, 2 Rh 2.79, 2 Np 2.79
Rh4 0.5000 0.5000 0.0742  1 Zn 2.53, 2 Rh 2.79, 2 Np 2.79
Rh5 0.5000 0.2392 0.7353  3 Zn 2.56-2.81, 2 Np 2.67, 2 Rh 2.71-2.79
Rh6 0.0000 0.2608 0.2647  3 Zn 2.56-2.81, 2 Np 2.67, 2 Rh 2.71-2.79
Zn1 0.5000 0.5000 0.4358  7 Rh 2.53-2.81
Zn2 0.0000 0.0000 0.5642  7 Rh 2.53-2.81
Np1 0.5000 0.0000 0.1809  8 Rh 2.67-2.92
Np2 0.0000 0.5000 0.8191  8 Rh 2.67-2.92



Li4Pm2Mg5: optimized geometry, PBE.

- Energy relative to the elements: 1.3 kcal/mol of atoms
- VASP energy: -24.50 eV/cell
- SG: Fmmm

Cell lengths 6.2541, 5.8138, 9.4138 Å; angles 79.71, 70.60, 57.46 degrees
Last column: nearest neighbours and their distance in Å.
Atoms (fractional coordinates):
Pm1 0.8830 0.0000 0.2341  6 Li 3.45-3.47, 10 Mg 3.57-3.75
Pm2 0.1170 0.0000 0.7659  6 Li 3.45-3.47, 10 Mg 3.57-3.75
Li1 0.4841 0.2989 0.7329  5 Mg 2.77-3.01, 1 Li 2.93
Li2 0.7830 0.7011 0.7329  5 Mg 2.77-3.01, 1 Li 2.93
Li3 0.2170 0.2989 0.2671  5 Mg 2.77-3.01, 1 Li 2.93
Li4 0.5159 0.7011 0.2671  5 Mg 2.77-3.01, 1 Li 2.93
Mg1 0.2500 0.5000 0.5000  4 Li 2.77
Mg2 0.7500 0.5000 0.5000  4 Li 2.77
Mg3 0.5000 0.5000 0.0000  4 Mg 2.91-3.13, 4 Li 3.01
Mg4 0.0000 0.5000 0.0000  4 Mg 2.91-3.13, 4 Li 3.01
Mg5 0.5000 0.0000 0.0000  4 Li 2.79, 4 Mg 2.91